{"formula": "PmSiSn", "functional": "PBE", "state": "relaxed", "cell": [[-1.149, 2.021, 4.258], [1.018, 4.672, 0.821], [-3.587, 3.256, 0.250]], "species": ["Sn", "Si", "Pm"], "frac_coords": [[0.750, 0.750, 0.750], [0.000, 0.000, 0.000], [0.250, 0.250, 0.250]], "rho_g_cm3": 6.0, "total_energy_ev_per_atom": -4.898}

***

{"formula": "PmTa2Si2", "functional": "PBE", "state": "relaxed", "cell": [[4.739, 0.000, 0.000], [-2.370, 4.104, 0.000], [0.000, 0.000, 11.671]], "species": ["Ta", "Ta", "Ta", "Ta", "Si", "Si", "Si", "Si", "Pm", "Pm"], "frac_coords": [[0.667, 0.333, 0.964], [0.667, 0.333, 0.536], [0.333, 0.667, 0.036], [0.333, 0.667, 0.464], [0.333, 0.667, 0.250], [0.667, 0.333, 0.750], [0.000, 0.000, 0.000], [0.000, 0.000, 0.500], [0.000, 0.000, 0.750], [0.000, 0.000, 0.250]], "rho_g_cm3": 8.2, "total_energy_ev_per_atom": -7.864}

***

{"formula": "TbPmSi3", "functional": "PBE", "state": "relaxed", "cell": [[2.118, -12.342, 0.000], [2.118, 12.342, 0.000], [0.000, 0.000, 3.968]], "species": ["Pm", "Pm", "Si", "Si", "Si", "Si", "Si", "Si", "Tb", "Tb"], "frac_coords": [[0.070, 0.930, 0.750], [0.930, 0.070, 0.250], [0.380, 0.620, 0.750], [0.322, 0.678, 0.250], [0.620, 0.380, 0.250], [0.475, 0.525, 0.750], [0.678, 0.322, 0.750], [0.525, 0.475, 0.250], [0.797, 0.203, 0.750], [0.203, 0.797, 0.250]], "rho_g_cm3": 6.2, "total_energy_ev_per_atom": -5.835}

***

{"formula": "PmSi2Tc", "functional": "PBE", "state": "relaxed", "cell": [[7.300, 0.000, 0.000], [0.000, 3.980, 0.000], [0.000, 0.000, 10.186]], "species": ["Si", "Si", "Si", "Si", "Si", "Si", "Si", "Si", "Pm", "Pm", "Pm", "Pm", "Tc", "Tc", "Tc", "Tc"], "frac_coords": [[0.297, 0.250, 0.926], [0.159, 0.750, 0.812], [0.703, 0.750, 0.074], [0.797, 0.250, 0.574], [0.341, 0.250, 0.312], [0.203, 0.750, 0.426], [0.659, 0.750, 0.688], [0.841, 0.250, 0.188], [0.144, 0.750, 0.126], [0.644, 0.750, 0.374], [0.356, 0.250, 0.626], [0.856, 0.250, 0.874], [0.488, 0.750, 0.893], [0.512, 0.250, 0.107], [0.012, 0.250, 0.393], [0.988, 0.750, 0.607]], "rho_g_cm3": 6.7, "total_energy_ev_per_atom": -7.175}

***

{"formula": "Pm2Si2Tc", "functional": "PBE", "state": "relaxed", "cell": [[5.582, -2.121, 0.000], [5.582, 2.121, 0.000], [-5.166, 0.000, 9.065]], "species": ["Si", "Si", "Si", "Si", "Pm", "Pm", "Pm", "Pm", "Tc", "Tc"], "frac_coords": [[0.349, 0.349, 0.437], [0.503, 0.503, 0.123], [0.651, 0.651, 0.563], [0.497, 0.497, 0.877], [0.189, 0.189, 0.109], [0.994, 0.994, 0.321], [0.006, 0.006, 0.679], [0.811, 0.811, 0.891], [0.276, 0.276, 0.627], [0.724, 0.724, 0.373]], "rho_g_cm3": 6.9, "total_energy_ev_per_atom": -6.810}

***

{"formula": "PmSiTc", "functional": "PBE", "state": "relaxed", "cell": [[-4.477, 0.160, 0.304], [-2.522, -0.621, -3.663], [-2.417, -3.758, -0.452]], "species": ["Pm", "Tc", "Si"], "frac_coords": [[0.250, 0.250, 0.250], [0.750, 0.750, 0.750], [0.000, 0.000, 0.000]], "rho_g_cm3": 7.0, "total_energy_ev_per_atom": -6.775}

***

{"formula": "Pm2SiTe", "functional": "PBE", "state": "relaxed", "cell": [[-2.346, 0.233, 3.672], [-0.293, -4.353, 0.088], [5.161, -0.280, 3.315]], "species": ["Si", "Pm", "Pm", "Te"], "frac_coords": [[0.500, 0.500, 0.500], [0.500, 0.500, 0.000], [0.000, 0.000, 0.500], [0.000, 0.000, 0.000]], "rho_g_cm3": 6.3, "total_energy_ev_per_atom": -5.563}

***

{"formula": "PmSi2Te2", "functional": "PBE", "state": "relaxed", "cell": [[4.449, 0.000, 0.000], [-2.225, 3.853, 0.000], [0.000, 0.000, 8.876]], "species": ["Si", "Si", "Te", "Te", "Pm"], "frac_coords": [[0.667, 0.333, 0.189], [0.333, 0.667, 0.811], [0.667, 0.333, 0.709], [0.333, 0.667, 0.291], [0.000, 0.000, 0.000]], "rho_g_cm3": 5.0, "total_energy_ev_per_atom": -4.392}

***

{"formula": "Pm5Si2Te2", "functional": "PBE", "state": "relaxed", "cell": [[7.798, -3.988, 0.000], [7.798, 3.988, 0.000], [0.000, 0.000, 8.009]], "species": ["Pm", "Pm", "Pm", "Pm", "Pm", "Pm", "Pm", "Pm", "Pm", "Pm", "Si", "Si", "Si", "Si", "Te", "Te", "Te", "Te"], "frac_coords": [[0.955, 0.297, 0.671], [0.000, 0.000, 0.000], [0.797, 0.455, 0.171], [0.455, 0.797, 0.829], [0.545, 0.203, 0.171], [0.203, 0.545, 0.829], [0.500, 0.500, 0.500], [0.297, 0.955, 0.329], [0.045, 0.703, 0.329], [0.703, 0.045, 0.671], [0.621, 0.379, 0.880], [0.121, 0.879, 0.620], [0.879, 0.121, 0.380], [0.379, 0.621, 0.120], [0.294, 0.294, 0.500], [0.206, 0.206, 0.000], [0.706, 0.706, 0.500], [0.794, 0.794, 0.000]], "rho_g_cm3": 6.9, "total_energy_ev_per_atom": -5.573}

***

{"formula": "PmThSi", "functional": "PBE", "state": "relaxed", "cell": [[1.164, -4.587, 1.508], [-3.496, -3.524, 0.157], [0.095, -3.739, -3.268]], "species": ["Th", "Pm", "Si"], "frac_coords": [[0.750, 0.750, 0.750], [0.250, 0.250, 0.250], [0.000, 0.000, 0.000]], "rho_g_cm3": 7.8, "total_energy_ev_per_atom": -6.191}

***

{"formula": "Pm5TlSi2", "functional": "PBE", "state": "relaxed", "cell": [[3.791, 0.451, 8.328], [-7.023, 0.571, 5.856], [1.471, -6.044, -6.727]], "species": ["Tl", "Tl", "Pm", "Pm", "Pm", "Pm", "Pm", "Pm", "Pm", "Pm", "Pm", "Pm", "Si", "Si", "Si", "Si"], "frac_coords": [[0.250, 0.250, 0.000], [0.750, 0.750, 0.000], [0.312, 0.464, 0.500], [0.812, 0.312, 0.848], [0.464, 0.964, 0.152], [0.964, 0.812, 0.500], [0.000, 0.000, 0.000], [0.036, 0.188, 0.500], [0.500, 0.500, 0.000], [0.536, 0.036, 0.848], [0.188, 0.688, 0.152], [0.688, 0.536, 0.500], [0.881, 0.381, 0.261], [0.381, 0.119, 0.500], [0.119, 0.619, 0.739], [0.619, 0.881, 0.500]], "rho_g_cm3": 7.3, "total_energy_ev_per_atom": -5.156}

***

{"formula": "PmTmSi", "functional": "PBE", "state": "relaxed", "cell": [[0.000, 3.450, 3.450], [3.450, 0.000, 3.450], [3.450, 3.450, 0.000]], "species": ["Pm", "Si", "Tm"], "frac_coords": [[0.250, 0.250, 0.250], [0.000, 0.000, 0.000], [0.750, 0.750, 0.750]], "rho_g_cm3": 6.9, "total_energy_ev_per_atom": -5.326}

***

{"formula": "PmUSi", "functional": "PBE", "state": "relaxed", "cell": [[0.000, 3.449, 3.449], [3.449, 0.000, 3.449], [3.449, 3.449, 0.000]], "species": ["U", "Pm", "Si"], "frac_coords": [[0.750, 0.750, 0.750], [0.250, 0.250, 0.250], [0.000, 0.000, 0.000]], "rho_g_cm3": 8.3, "total_energy_ev_per_atom": -6.971}

***

{"formula": "PmYSi", "functional": "PBE", "state": "relaxed", "cell": [[-0.392, -2.994, 3.885], [-3.334, 0.932, 3.497], [-3.942, -2.907, 0.478]], "species": ["Pm", "Si", "Y"], "frac_coords": [[0.250, 0.250, 0.250], [0.000, 0.000, 0.000], [0.750, 0.750, 0.750]], "rho_g_cm3": 5.2, "total_energy_ev_per_atom": -6.021}

***

{"formula": "PmZnSi", "functional": "PBE", "state": "relaxed", "cell": [[2.079, -3.602, 0.000], [2.079, 3.602, 0.000], [0.000, 0.000, 8.349]], "species": ["Si", "Si", "Zn", "Zn", "Pm", "Pm"], "frac_coords": [[0.667, 0.333, 0.750], [0.333, 0.667, 0.250], [0.333, 0.667, 0.750], [0.667, 0.333, 0.250], [0.000, 0.000, 0.500], [0.000, 0.000, 0.000]], "rho_g_cm3": 6.3, "total_energy_ev_per_atom": -4.461}

***

{"formula": "PmZnSi", "functional": "PBE", "state": "relaxed", "cell": [[-4.392, -1.124, -1.510], [-3.601, 3.079, 0.623], [-1.885, 2.264, -3.762]], "species": ["Pm", "Si", "Zn"], "frac_coords": [[0.000, 0.000, 0.000], [0.250, 0.250, 0.250], [0.750, 0.750, 0.750]], "rho_g_cm3": 5.1, "total_energy_ev_per_atom": -3.743}

***

{"formula": "Pm2Zn6Si3", "functional": "PBE", "state": "relaxed", "cell": [[7.513, 0.000, 0.000], [-3.757, 6.506, 0.000], [0.000, 0.000, 4.046]], "species": ["Si", "Si", "Si", "Zn", "Zn", "Zn", "Zn", "Zn", "Zn", "Pm", "Pm"], "frac_coords": [[0.623, 0.000, 0.500], [0.000, 0.623, 0.500], [0.377, 0.377, 0.500], [0.704, 0.704, 0.500], [0.000, 0.296, 0.500], [0.000, 0.808, 0.000], [0.808, 0.000, 0.000], [0.296, 0.000, 0.500], [0.192, 0.192, 0.000], [0.333, 0.667, 0.000], [0.667, 0.333, 0.000]], "rho_g_cm3": 6.4, "total_energy_ev_per_atom": -3.437}

***

{"formula": "PmZnSi", "functional": "PBE", "state": "relaxed", "cell": [[3.747, -2.335, -0.954], [1.780, -2.774, 3.088], [-0.215, -4.473, -0.590]], "species": ["Si", "Zn", "Pm"], "frac_coords": [[0.750, 0.750, 0.750], [0.000, 0.000, 0.000], [0.250, 0.250, 0.250]], "rho_g_cm3": 6.1, "total_energy_ev_per_atom": -4.091}

***

{"formula": "PmZnSi", "functional": "PBE", "state": "relaxed", "cell": [[0.000, 3.239, 3.239], [3.239, 0.000, 3.239], [3.239, 3.239, 0.000]], "species": ["Zn", "Pm", "Si"], "frac_coords": [[0.750, 0.750, 0.750], [0.250, 0.250, 0.250], [0.000, 0.000, 0.000]], "rho_g_cm3": 5.8, "total_energy_ev_per_atom": -4.108}

***

{"formula": "PmZrSi", "functional": "PBE", "state": "relaxed", "cell": [[-2.683, -1.332, 3.869], [-3.099, 3.188, 2.042], [-4.828, -0.636, -0.473]], "species": ["Zr", "Si", "Pm"], "frac_coords": [[0.750, 0.750, 0.750], [0.250, 0.250, 0.250], [0.000, 0.000, 0.000]], "rho_g_cm3": 5.3, "total_energy_ev_per_atom": -5.451}